Entry 1:
First-principles (PBE-GGA) data for a relaxed Rb4NdTa3O12 crystal, as listed in Alexandria via LeMat-Bulk.

## Properties
V: 303.8 Å³ per cell
Formation energy (no corrections): -2.37 eV per atom

Lattice parameters (Å, degrees): 7.3348 7.3348 7.3348 109.47 109.47 109.47
Each line ends with the local moment (μB).
Sites, in units of the cell vectors:
1 O 0.5000 0.2500 0.7500  0.21
2 O 0.5000 0.7500 0.2500  0.21
3 O 0.0000 0.7263 0.7263  0.12
4 O 0.7500 0.2500 0.5000  0.21
5 O 0.2500 0.5000 0.7500  0.21
6 O 0.7263 0.0000 0.7263  0.12
7 O 0.7500 0.5000 0.2500  0.21
8 O 0.0000 0.2737 0.2737  0.12
9 O 0.2737 0.0000 0.2737  0.12
10 O 0.7263 0.7263 0.0000  0.12
11 O 0.2737 0.2737 0.0000  0.12
12 O 0.2500 0.7500 0.5000  0.21
13 Rb 0.0000 0.0000 0.5000  0.00
14 Rb 0.5000 0.5000 0.5000  0.00
15 Rb 0.5000 0.0000 0.0000  0.00
16 Rb 0.0000 0.5000 0.0000  0.00
17 Ta 0.0000 0.5000 0.5000  -0.06
18 Ta 0.5000 0.0000 0.5000  -0.06
19 Ta 0.5000 0.5000 0.0000  -0.06
20 Nd 0.0000 0.0000 0.0000  0.00

Entry 2:
First-principles (PBE-GGA) data for a relaxed PmNi3 crystal, as listed in Alexandria via LeMat-Bulk.

## Properties
V: 60.2 Å³ per cell
DFT formation energy: -0.45 eV/f.u.

Lattice parameters (Å, degrees): 3.9193 3.9193 3.9193 90.00 90.00 90.00
Each line ends with the local moment (μB).
Sites, in units of the cell vectors:
1 Ni 0.5000 0.0000 0.5000  0.21
2 Ni 0.5000 0.5000 0.0000  0.21
3 Ni 0.0000 0.5000 0.5000  0.21
4 Pm 0.0000 0.0000 0.0000  -0.04

Entry 3:
First-principles (PBE-GGA) data for a relaxed Ag4AuS2 crystal, as listed in Alexandria via LeMat-Bulk.

## Properties
V: 140.2 Å³ per cell
Formation energy (no corrections): 0.13 eV per atom

Lattice parameters (Å, degrees): 3.9625 5.1394 6.8997 86.49 90.00 90.00
Sites, in units of the cell vectors:
1 Ag 0.5000 0.7082 0.1331
2 Ag 0.5000 0.2918 0.8669
3 Ag 0.0000 0.6909 0.7314
4 Ag 0.0000 0.3091 0.2686
5 S 0.5000 0.5000 0.5000
6 S 0.0000 0.0000 0.0000
7 Au 0.5000 0.0000 0.5000